This record from the Alexandria database describes a geometry-optimized PaGa2Re structure. The functional is GGA-PBE.

- Distance to the lowest polymorph of the same formula: 0.000 eV/atom
- VASP energy: -58.258 eV per cell
- Formation enthalpy at 0 K: -0.283 eV/atom

Lattice parameters (Å, degrees): 4.544 5.727 6.720 90.00 90.00 120.95
Sites, in units of the cell vectors:
Pa: 0.123 0.160 0.750
Pa: 0.877 0.840 0.250
Re: 0.746 0.629 0.750
Re: 0.254 0.371 0.250
Ga: 0.681 0.268 0.448
Ga: 0.681 0.268 0.052
Ga: 0.319 0.732 0.552
Ga: 0.319 0.732 0.948


This record from the Alexandria database describes a geometry-optimized Pa3Ga9Re2 structure. The functional is GGA-PBE.

- VASP energy: -84.246 eV per cell
- Formation enthalpy at 0 K: -0.259 eV/atom

Lattice parameters (Å, degrees): 4.431 8.048 8.048 71.45 74.02 74.02
Sites, in units of the cell vectors:
Pa: 0.301 0.699 0.699
Pa: 0.000 0.000 0.000
Pa: 0.699 0.301 0.301
Ga: 0.000 0.500 0.500
Ga: 0.348 0.289 0.016
Ga: 0.131 0.150 0.587
Ga: 0.348 0.016 0.289
Ga: 0.652 0.984 0.711
Ga: 0.869 0.850 0.413
Ga: 0.131 0.587 0.150
Ga: 0.869 0.413 0.850
Ga: 0.652 0.711 0.984
Re: 0.500 0.331 0.669
Re: 0.500 0.669 0.331


This record from the Alexandria database describes a geometry-optimized Pa2GaRe structure. The functional is GGA-PBE.

- Distance to the lowest polymorph of the same formula: 0.178 eV/atom
- VASP energy: -34.526 eV per cell
- Formation enthalpy at 0 K: -0.015 eV/atom

Lattice parameters (Å, degrees): 4.941 4.941 4.941 60.00 60.00 60.00
Sites, in units of the cell vectors:
Ga: 0.500 0.500 0.500
Re: 0.000 0.000 0.000
Pa: 0.750 0.750 0.750
Pa: 0.250 0.250 0.250


Which of these has the highest formation enthalpy at 0 K?
Pa2GaRe